Record 1
First-principles (PBE) data for a relaxed Si3W2 crystal, as listed in Alexandria.

Cell and atoms, written as extended XYZ:
```
10
Lattice="0.0000 6.4895 2.8418 3.9138 0.0000 2.8418 3.9138 6.4895 0.0000" Properties=species:S:1:pos:R:3 pbc="T T T"
Si 0.0000 0.0000 0.0000
Si 1.9569 3.2448 1.4209
Si 4.5066 4.9876 3.0106
Si 3.3209 7.9914 3.0106
Si 5.2777 8.2323 4.4316
Si 6.4635 11.2362 4.4316
W 5.5238 7.1126 1.9831
W 3.5669 2.6217 3.4040
W 2.3037 5.8664 1.9831
W 4.2606 10.3573 3.4040
```

Calculated values
As for the space group: Fdd2. The value obtained for the polymorph energy (0 for the lowest one) is 0.000 eV/atom. For the uncorrected formation energy, the calculation gives 0.034 eV/atom. The total energy is -8.401 eV per atom.

***

Record 2
First-principles (PBE) data for a relaxed LiSeIN2 crystal, as listed in Alexandria.

Cell and atoms, written as extended XYZ:
```
5
Lattice="4.2243 0.0000 0.0000 0.0000 4.2243 0.0000 0.0000 0.0000 5.6576" Properties=species:S:1:pos:R:3 pbc="T T T"
Li 0.0000 0.0000 0.0000
Se 0.0000 0.0000 2.8288
I 2.1122 2.1122 2.8288
N 0.0000 2.1122 0.0000
N 2.1122 0.0000 0.0000
```

Calculated values
As for the space group: P4/mmm. The value obtained for the polymorph energy (0 for the lowest one) is 0.645 eV/atom. For the uncorrected formation energy, the calculation gives 1.632 eV/atom. The total energy is -3.088 eV per atom.

***

Record 3
First-principles (PBE) data for a relaxed Er2InPd9 crystal, as listed in Alexandria.

Cell and atoms, written as extended XYZ:
```
12
Lattice="4.0931 0.0000 0.0000 0.0000 4.0931 0.0000 0.0000 0.0000 12.1931" Properties=species:S:1:pos:R:3 pbc="T T T"
Er 0.0000 0.0000 2.0702
Er 0.0000 0.0000 10.1230
In 0.0000 0.0000 6.0966
Pd 0.0000 2.0465 0.0000
Pd 0.0000 2.0465 4.1147
Pd 0.0000 2.0465 8.0784
Pd 2.0465 0.0000 0.0000
Pd 2.0465 0.0000 4.1147
Pd 2.0465 0.0000 8.0784
Pd 2.0465 2.0465 2.0486
Pd 2.0465 2.0465 6.0966
Pd 2.0465 2.0465 10.1445
```

Calculated values
As for the space group: P4/mmm. The calculated formation energy is -0.75 eV/atom. The total energy is -5.631 eV per atom.